The following is a DFT calculation (PBE) of an optimized crystal structure of NaDyNp2O8.

Cell lengths 5.3230, 5.3230, 6.4092 Å; angles 114.54, 114.54, 90.00 degrees
Last column: magnetic moment on the atom in μB.
Positions (direct):
Np (0.2500, 0.7500, 0.5000)  1.30
O (0.6021, 0.6315, 0.7531)  -0.08
O (0.6024, 0.1219, 0.7536)  -0.08
O (0.8781, 0.8487, 0.2464)  -0.08
O (0.1510, 0.1216, 0.7531)  -0.08
Dy (0.0000, 0.0000, 0.0000)  -0.01
Na (0.7500, 0.2500, 0.5000)  0.00
O (0.8784, 0.3979, 0.2469)  -0.08
O (0.3682, 0.3976, 0.2464)  -0.08
Np (0.5000, 0.5000, 0.0000)  1.41
O (0.3685, 0.8490, 0.2469)  -0.08
O (0.1513, 0.6318, 0.7536)  -0.08

Density of states at the Fermi level (states/eV/cell): 10.22
Volume (Å³ per atom): 12.249
Total energy (Ha/atom): -0.3199
Symmetry: No. 119



The following is a DFT calculation (PBE) of an optimized crystal structure of NaDy4NpS8.

Cell lengths 8.0959, 8.0959, 8.1490 Å; angles 60.22, 60.22, 60.00 degrees
Last column: magnetic moment on the atom in μB.
Positions (direct):
Dy (0.0048, 0.4878, 0.5026)  0.03
Dy (0.0048, 0.0048, 0.5026)  0.03
S (0.2276, 0.7551, 0.2623)  -0.02
S (0.7582, 0.7582, 0.7254)  0.00
Dy (0.4878, 0.0048, 0.5026)  0.03
S (0.2400, 0.7844, 0.7356)  -0.02
S (0.7844, 0.2400, 0.7356)  -0.02
S (0.2390, 0.2390, 0.2829)  0.00
Dy (0.6257, 0.6257, 0.1229)  0.02
Np (0.0031, 0.0031, 0.9908)  3.82
S (0.7551, 0.2276, 0.2623)  -0.02
S (0.2400, 0.2400, 0.7356)  -0.02
S (0.7551, 0.7551, 0.2623)  -0.02
Na (0.3745, 0.3745, 0.8765)  0.00

Density of states at the Fermi level (states/eV/cell): 5.05
Volume (Å³ per atom): 27.064
Total energy (Ha/atom): -0.2389
Symmetry: No. 160



The following is a DFT calculation (PBE) of an optimized crystal structure of Na2Dy2NpS6.

Cell lengths 6.9028, 6.9028, 7.1082 Å; angles 99.33, 99.33, 119.83 degrees
Last column: magnetic moment on the atom in μB.
Positions (direct):
S (0.2508, 0.2508, 0.2804)  -0.04
S (0.4012, 0.0692, 0.7197)  -0.03
Np (0.0000, 0.0000, 0.5000)  3.20
S (0.9308, 0.5988, 0.2803)  -0.03
Dy (0.6658, 0.3342, 0.5000)  0.01
S (0.0692, 0.4012, 0.7197)  -0.03
Dy (0.3342, 0.6658, 0.5000)  0.01
Na (0.8313, 0.1687, 0.0000)  0.00
Na (0.1687, 0.8313, 0.0000)  0.00
S (0.7492, 0.7492, 0.7196)  -0.04
S (0.5988, 0.9308, 0.2803)  -0.03

Density of states at the Fermi level (states/eV/cell): 6.60
Volume (Å³ per atom): 25.275
Total energy (Ha/atom): -0.2268
Symmetry: No. 12



The following is a DFT calculation (PBE) of an optimized crystal structure of NaDy2NpS4.

Cell lengths 3.9228, 6.8439, 6.8402 Å; angles 70.60, 90.00, 90.00 degrees
Last column: magnetic moment on the atom in μB.
Positions (direct):
Dy (0.5000, 0.0000, 0.5000)  0.10
S (0.5000, 0.7529, 0.2505)  -0.04
Dy (0.0000, 0.0000, 0.0000)  0.03
S (0.0000, 0.2420, 0.2542)  -0.02
Np (0.0000, 0.5000, 0.5000)  4.01
Na (0.5000, 0.5000, 0.0000)  0.00
S (0.5000, 0.2471, 0.7495)  -0.04
S (0.0000, 0.7580, 0.7458)  -0.02

Density of states at the Fermi level (states/eV/cell): 12.58
Volume (Å³ per atom): 21.652
Total energy (Ha/atom): -0.2470
Symmetry: No. 10



density of states at the Fermi level of number 4 (NaDy2NpS4)? 12.58 states/eV/cell



What is the formula in the third record? Na2Dy2NpS6



Repeat the first record exactly.
The following is a DFT calculation (PBE) of an optimized crystal structure of NaDyNp2O8.

Cell lengths 5.3230, 5.3230, 6.4092 Å; angles 114.54, 114.54, 90.00 degrees
Last column: magnetic moment on the atom in μB.
Positions (direct):
Np (0.2500, 0.7500, 0.5000)  1.30
O (0.6021, 0.6315, 0.7531)  -0.08
O (0.6024, 0.1219, 0.7536)  -0.08
O (0.8781, 0.8487, 0.2464)  -0.08
O (0.1510, 0.1216, 0.7531)  -0.08
Dy (0.0000, 0.0000, 0.0000)  -0.01
Na (0.7500, 0.2500, 0.5000)  0.00
O (0.8784, 0.3979, 0.2469)  -0.08
O (0.3682, 0.3976, 0.2464)  -0.08
Np (0.5000, 0.5000, 0.0000)  1.41
O (0.3685, 0.8490, 0.2469)  -0.08
O (0.1513, 0.6318, 0.7536)  -0.08

Density of states at the Fermi level (states/eV/cell): 10.22
Volume (Å³ per atom): 12.249
Total energy (Ha/atom): -0.3199
Symmetry: No. 119